(1)
# RbErI2O8 | the Alexandria database | PBE-GGA | relaxed
# **E_form (uncorrected)**: -1076 meV per atom
# **Theoretical density**: 3868 kg/m³
# **E**: -5.1005 eV/atom
data_RbErI2O8
_space_group_name_H-M_alt 'P -3 m 1'
_space_group_IT_number 164
_space_group_name_Hall '-P 3 2"'
_cell_length_a 6.2406
_cell_length_b 6.2406
_cell_length_c 8.0772
_cell_angle_alpha 90.00
_cell_angle_beta 90.00
_cell_angle_gamma 120.00
loop_
_atom_site_label
_atom_site_type_symbol
_atom_site_fract_x
_atom_site_fract_y
_atom_site_fract_z
Rb1 Rb 0.0000 0.0000 0.0000
Er1 Er 0.0000 0.0000 0.5000
I1 I 0.3333 0.6667 0.2854
O1 O 0.1595 0.3189 0.3245
O2 O 0.3333 0.6667 0.0643

(2)
# RbErIO6 | the Alexandria database | PBE-GGA | relaxed
# **E_form (uncorrected)**: -1400 meV per atom
# **Theoretical density**: 4581 kg/m³
# **E**: -5.4921 eV/atom
data_RbErIO6
_space_group_name_H-M_alt 'P 3 1 2'
_space_group_IT_number 149
_space_group_name_Hall 'P 3 2'
_cell_length_a 5.6948
_cell_length_b 5.6948
_cell_length_c 6.1389
_cell_angle_alpha 90.00
_cell_angle_beta 90.00
_cell_angle_gamma 120.00
loop_
_atom_site_label
_atom_site_type_symbol
_atom_site_fract_x
_atom_site_fract_y
_atom_site_fract_z
Rb1 Rb 0.0000 0.0000 0.0000
Er1 Er 0.3333 0.6667 0.5000
I1 I 0.6667 0.3333 0.5000
O1 O 0.4086 0.0459 0.6769

(3)
# ErRhIO6 | the Alexandria database | PBE-GGA | relaxed
# **E_form (uncorrected)**: -1100 meV per atom
# **Theoretical density**: 7200 kg/m³
# **E**: -5.9012 eV/atom
data_ErRhIO6
_space_group_name_H-M_alt 'P -3 1 c'
_space_group_IT_number 163
_space_group_name_Hall '-P 3 2c'
_cell_length_a 5.4956
_cell_length_b 5.4956
_cell_length_c 8.6953
_cell_angle_alpha 90.00
_cell_angle_beta 90.00
_cell_angle_gamma 120.00
loop_
_atom_site_label
_atom_site_type_symbol
_atom_site_fract_x
_atom_site_fract_y
_atom_site_fract_z
Er1 Er 0.3333 0.6667 0.2500
Rh1 Rh 0.0000 0.0000 0.0000
I1 I 0.3333 0.6667 0.7500
O1 O 0.0200 0.3337 0.6224

(4)
# ErSc2IO8 | the Alexandria database | PBE-GGA | relaxed
# **E_form (uncorrected)**: -2318 meV per atom
# **Theoretical density**: 5526 kg/m³
# **E**: -7.1881 eV/atom
data_ErSc2IO8
_space_group_name_H-M_alt 'C m m m'
_space_group_IT_number 65
_space_group_name_Hall '-C 2 2'
_cell_length_a 6.834
_cell_length_b 6.858
_cell_length_c 6.567
_cell_angle_alpha 90.00
_cell_angle_beta 90.00
_cell_angle_gamma 90.00
loop_
_atom_site_label
_atom_site_type_symbol
_atom_site_fract_x
_atom_site_fract_y
_atom_site_fract_z
Er1 Er 0.000 0.000 0.000
Sc1 Sc 0.000 0.500 0.241
I1 I 0.000 0.000 0.500
O1 O 0.000 0.189 0.286
O2 O 0.184 0.500 0.000
O3 O 0.221 0.500 0.500

(5)
# SmEr2IO8 | the Alexandria database | PBE-GGA | relaxed
# **E_form (uncorrected)**: -2338 meV per atom
# **Theoretical density**: 7102 kg/m³
# **E**: -6.9259 eV/atom
data_SmEr2IO8
_space_group_name_H-M_alt 'C m m m'
_space_group_IT_number 65
_space_group_name_Hall '-C 2 2'
_cell_length_a 7.091
_cell_length_b 7.094
_cell_length_c 6.876
_cell_angle_alpha 90.00
_cell_angle_beta 90.00
_cell_angle_gamma 90.00
loop_
_atom_site_label
_atom_site_type_symbol
_atom_site_fract_x
_atom_site_fract_y
_atom_site_fract_z
Sm1 Sm 0.000 0.000 0.000
Er1 Er 0.000 0.500 0.248
I1 I 0.000 0.000 0.500
O1 O 0.000 0.183 0.296
O2 O 0.185 0.500 0.000
O3 O 0.231 0.500 0.500

(6)
# ErTaIO4 | the Alexandria database | PBE-GGA | relaxed
# **E_form (uncorrected)**: -2623 meV per atom
# **Theoretical density**: 6659 kg/m³
# **E**: -8.0223 eV/atom
data_ErTaIO4
_space_group_name_H-M_alt 'C 1 2/m 1'
_space_group_IT_number 12
_space_group_name_Hall '-C 2y'
_cell_length_a 13.009
_cell_length_b 6.360
_cell_length_c 6.785
_cell_angle_alpha 90.00
_cell_angle_beta 106.67
_cell_angle_gamma 90.00
loop_
_atom_site_label
_atom_site_type_symbol
_atom_site_fract_x
_atom_site_fract_y
_atom_site_fract_z
Er1 Er 0.207 0.000 0.324
Ta1 Ta 0.112 0.000 0.711
I1 I 0.041 0.500 0.205
O1 O 0.040 0.000 0.346
O2 O 0.160 0.000 0.996
O3 O 0.183 0.230 0.628

(7)
# TbEr2IO8 | the Alexandria database | PBE-GGA | relaxed
# **E_form (uncorrected)**: -2364 meV per atom
# **Theoretical density**: 7299 kg/m³
# **E**: -6.9450 eV/atom
data_TbEr2IO8
_space_group_name_H-M_alt 'C m m m'
_space_group_IT_number 65
_space_group_name_Hall '-C 2 2'
_cell_length_a 7.038
_cell_length_b 7.101
_cell_length_c 6.812
_cell_angle_alpha 90.00
_cell_angle_beta 90.00
_cell_angle_gamma 90.00
loop_
_atom_site_label
_atom_site_type_symbol
_atom_site_fract_x
_atom_site_fract_y
_atom_site_fract_z
Tb1 Tb 0.000 0.000 0.000
Er1 Er 0.000 0.500 0.248
I1 I 0.000 0.000 0.500
O1 O 0.000 0.182 0.293
O2 O 0.189 0.500 0.000
O3 O 0.230 0.500 0.500

(8)
# Tb2ErIO8 | the Alexandria database | PBE-GGA | relaxed
# **E_form (uncorrected)**: -2348 meV per atom
# **Theoretical density**: 7097 kg/m³
# **E**: -6.9348 eV/atom
data_Tb2ErIO8
_space_group_name_H-M_alt 'C m m m'
_space_group_IT_number 65
_space_group_name_Hall '-C 2 2'
_cell_length_a 7.064
_cell_length_b 7.191
_cell_length_c 6.816
_cell_angle_alpha 90.00
_cell_angle_beta 90.00
_cell_angle_gamma 90.00
loop_
_atom_site_label
_atom_site_type_symbol
_atom_site_fract_x
_atom_site_fract_y
_atom_site_fract_z
Tb1 Tb 0.000 0.000 0.248
Er1 Er 0.000 0.500 0.000
I1 I 0.000 0.500 0.500
O1 O 0.000 0.321 0.291
O2 O 0.194 0.000 0.000
O3 O 0.232 0.000 0.500

(9)
# Er2Tl2IO6 | the Alexandria database | PBE-GGA | relaxed
# **E_form (uncorrected)**: -1685 meV per atom
# **Theoretical density**: 7750 kg/m³
# **E**: -5.7903 eV/atom
data_Er2Tl2IO6
_space_group_name_H-M_alt 'C 1 2/m 1'
_space_group_IT_number 12
_space_group_name_Hall '-C 2y'
_cell_length_a 5.968
_cell_length_b 10.660
_cell_length_c 6.774
_cell_angle_alpha 90.00
_cell_angle_beta 106.12
_cell_angle_gamma 90.00
loop_
_atom_site_label
_atom_site_type_symbol
_atom_site_fract_x
_atom_site_fract_y
_atom_site_fract_z
Er1 Er 0.000 0.167 0.000
Tl1 Tl 0.000 0.335 0.500
I1 I 0.000 0.500 0.000
O1 O 0.221 0.323 0.171
O2 O 0.230 0.000 0.148

(10)
# ErTl2IO8 | the Alexandria database | PBE-GGA | relaxed
# **E_form (uncorrected)**: -1077 meV per atom
# **Theoretical density**: 7914 kg/m³
# **E**: -5.2866 eV/atom
data_ErTl2IO8
_space_group_name_H-M_alt 'P -1'
_space_group_IT_number 2
_space_group_name_Hall '-P 1'
_cell_length_a 5.081
_cell_length_b 5.089
_cell_length_c 6.751
_cell_angle_alpha 91.45
_cell_angle_beta 91.46
_cell_angle_gamma 92.07
loop_
_atom_site_label
_atom_site_type_symbol
_atom_site_fract_x
_atom_site_fract_y
_atom_site_fract_z
Er1 Er 0.000 0.000 0.000
Tl1 Tl 0.485 0.485 0.750
I1 I 0.000 0.000 0.500
O1 O 0.170 0.822 0.289
O2 O 0.182 0.834 0.711
O3 O 0.275 0.279 0.497
O4 O 0.303 0.305 0.012

(11)
# ErTm2IO8 | the Alexandria database | PBE-GGA | relaxed
# **E_form (uncorrected)**: -2391 meV per atom
# **Theoretical density**: 7587 kg/m³
# **E**: -6.9514 eV/atom
data_ErTm2IO8
_space_group_name_H-M_alt 'C m m m'
_space_group_IT_number 65
_space_group_name_Hall '-C 2 2'
_cell_length_a 6.976
_cell_length_b 7.072
_cell_length_c 6.743
_cell_angle_alpha 90.00
_cell_angle_beta 90.00
_cell_angle_gamma 90.00
loop_
_atom_site_label
_atom_site_type_symbol
_atom_site_fract_x
_atom_site_fract_y
_atom_site_fract_z
Er1 Er 0.000 0.000 0.000
Tm1 Tm 0.000 0.500 0.247
I1 I 0.000 0.000 0.500
O1 O 0.000 0.182 0.290
O2 O 0.191 0.500 0.000
O3 O 0.228 0.500 0.500

(12)
# Er2TmIO8 | the Alexandria database | PBE-GGA | relaxed
# **E_form (uncorrected)**: -2384 meV per atom
# **Theoretical density**: 7520 kg/m³
# **E**: -6.9514 eV/atom
data_Er2TmIO8
_space_group_name_H-M_alt 'C m m m'
_space_group_IT_number 65
_space_group_name_Hall '-C 2 2'
_cell_length_a 6.987
_cell_length_b 7.108
_cell_length_c 6.743
_cell_angle_alpha 90.00
_cell_angle_beta 90.00
_cell_angle_gamma 90.00
loop_
_atom_site_label
_atom_site_type_symbol
_atom_site_fract_x
_atom_site_fract_y
_atom_site_fract_z
Er1 Er 0.000 0.000 0.247
Tm1 Tm 0.000 0.500 0.000
I1 I 0.000 0.500 0.500
O1 O 0.000 0.319 0.289
O2 O 0.193 0.000 0.000
O3 O 0.229 0.000 0.500

Which of these has the lowest theoretical density?
RbErI2O8